Entry 1:
The following is a DFT calculation (PBE) of a geometry-optimized RbMnCdMo2 structure.

formation energy from the elements = 3438 meV per atom
calculated volume = 119 Å³/f.u.
final energy = -3.1054 eV per atom
total magnetic moment = 2.204 Bohr magnetons per cell

extended XYZ file:
```
5
Lattice="-3.398 0.500 3.254 2.755 -3.080 3.350 2.199 3.825 1.708" Properties=species:S:1:pos:R:3 pbc="T T T"
Mo 1.099 1.913 0.854
Mo -1.699 0.250 1.627
Cd 1.378 -1.540 1.675
Rb 0.000 0.000 0.000
Mn 0.778 0.622 4.156
```

Entry 2:
The following is a DFT calculation (PBE) of a geometry-optimized RbCeCuS4 structure.

formation energy from raw total energies = -105.8 kJ/mol of atoms
calculated volume = 174 Å³/f.u.
final energy = -5.0260 eV per atom
total magnetic moment = 0.000 Bohr magnetons per cell

extended XYZ file:
```
14
Lattice="-5.730 -4.003 -0.440 1.387 -2.483 4.533 -2.597 7.773 5.052" Properties=species:S:1:pos:R:3 pbc="T T T"
S -2.746 0.891 6.066
S -2.079 -2.285 4.122
Cu -1.219 -0.367 4.910
S -5.861 -2.748 3.151
S -1.080 4.035 5.995
S -4.862 3.572 5.023
Rb -1.189 -1.353 1.202
Rb -5.752 2.640 7.944
S -6.424 -1.739 1.309
S -0.516 3.026 7.837
Ce -2.721 2.606 3.839
Ce -4.220 -1.319 5.307
S -4.195 0.396 3.079
Cu -5.722 1.654 4.236
```

Entry 3:
The following is a DFT calculation (PBE) of a geometry-optimized Re2BiCl structure.

energy above the lowest structure with this stoichiometry = 63 kJ/mol of formula units
formation energy from raw total energies = 160.8 kJ/mol of atoms
calculated volume = 91 Å³/f.u.
final energy = -5.9898 eV per atom
total magnetic moment = 0.000 Bohr magnetons per cell

extended XYZ file:
```
8
Lattice="-0.519 4.100 4.284 -5.448 1.368 -1.970 -4.994 -0.780 4.277" Properties=species:S:1:pos:R:3 pbc="T T T"
Bi 0.000 0.000 0.000
Re -2.218 2.253 3.202
Cl -2.983 2.734 1.157
Bi -4.248 3.027 4.859
Re -6.363 1.561 3.939
Re -8.587 4.105 5.370
Re -4.755 1.459 0.672
Cl -6.713 1.661 1.733
```

Entry 4:
The following is a DFT calculation (PBE) of a geometry-optimized La7TbY12 structure.

energy above the lowest structure with this stoichiometry = 740 kJ/mol of formula units
formation energy from the elements = 604 meV per atom
calculated volume = 738 Å³/f.u.
final energy = -5.2303 eV per atom
total magnetic moment = 0.019 Bohr magnetons per cell

extended XYZ file:
```
20
Lattice="-9.458 -2.315 1.542 2.127 -1.068 -9.567 5.756 -5.969 5.332" Properties=species:S:1:pos:R:3 pbc="T T T"
Y -2.610 -5.567 -3.343
Tb 0.000 0.000 0.000
Y -4.597 -7.071 3.194
Y -3.572 -4.284 -7.086
Y 0.134 -2.574 -3.029
La -3.665 -1.692 -4.012
La -4.729 -1.157 0.771
Y 1.997 -5.068 4.394
Y -6.595 -2.010 -1.202
Y 1.035 -3.785 0.650
Y 1.150 -6.468 -2.411
Y 3.022 -2.281 -5.886
Y -2.725 -2.883 -0.282
La 1.063 -0.534 -4.783
Y -1.709 -6.778 0.337
La 3.941 -3.518 -2.117
La -0.788 -4.676 -1.346
La -1.851 -4.142 3.437
La 2.878 -2.984 2.666
Y 5.020 -7.342 -1.490
```

Entry 5:
The following is a DFT calculation (PBE) of a geometry-optimized AlMo2Se structure.

energy above the lowest structure with this stoichiometry = 72 kJ/mol of formula units
formation energy from raw total energies = 9.3 kJ/mol of atoms
calculated volume = 66 Å³/f.u.
final energy = -7.1261 eV per atom
total magnetic moment = 0.000 Bohr magnetons per cell

extended XYZ file:
```
4
Lattice="4.608 0.000 0.000 0.000 3.018 0.027 0.000 1.429 4.751" Properties=species:S:1:pos:R:3 pbc="T T T"
Al 2.304 3.158 3.513
Mo 0.000 0.179 0.150
Se 0.000 1.670 2.266
Mo 2.304 1.664 1.239
```

Entry 6:
The following is a DFT calculation (PBE) of a geometry-optimized LiVPS2 structure.

energy above the lowest structure with this stoichiometry = 399 kJ/mol of formula units
formation energy from raw total energies = 53.2 kJ/mol of atoms
calculated volume = 82 Å³/f.u.
final energy = -4.3877 eV per atom
total magnetic moment = 2.550 Bohr magnetons per cell

extended XYZ file:
```
5
Lattice="4.467 0.000 0.000 0.000 4.467 0.000 0.000 0.000 4.123" Properties=species:S:1:pos:R:3 pbc="T T T"
P 0.000 0.000 2.061
V 2.234 2.234 2.061
Li 0.000 0.000 0.000
S 2.234 0.000 0.000
S 0.000 2.234 0.000
```

Entry 7:
The following is a DFT calculation (PBE) of a geometry-optimized KSbBr2 structure.

energy above the lowest structure with this stoichiometry = 7 kJ/mol of formula units
formation energy from raw total energies = -73.1 kJ/mol of atoms
calculated volume = 140 Å³/f.u.
final energy = -2.8990 eV per atom
total magnetic moment = 0.000 Bohr magnetons per cell

extended XYZ file:
```
4
Lattice="8.148 -1.971 5.800 9.664 -2.477 2.094 9.424 1.223 3.688" Properties=species:S:1:pos:R:3 pbc="T T T"
K 13.618 -1.612 5.791
Br 24.686 -2.922 10.497
Sb 0.000 0.000 0.000
Br 2.550 -0.302 1.084
```

Entry 8:
The following is a DFT calculation (PBE) of a geometry-optimized TbPuMg2 structure.

energy above the lowest structure with this stoichiometry = 0 kJ/mol of formula units
formation energy from the elements = 81 meV per atom
calculated volume = 106 Å³/f.u.
final energy = -5.4573 eV per atom
total magnetic moment = 5.996 Bohr magnetons per cell

extended XYZ file:
```
4
Lattice="-0.191 -2.932 1.364 -0.169 -1.355 -2.938 10.031 -0.759 -0.227" Properties=species:S:1:pos:R:3 pbc="T T T"
Tb 4.835 -2.524 -0.900
Pu -0.180 -2.144 -0.787
Mg 2.518 -0.191 -0.057
Mg 7.513 -0.569 -0.170
```

Entry 9:
The following is a DFT calculation (PBE) of a geometry-optimized CaCrTc structure.

energy above the lowest structure with this stoichiometry = 167 kJ/mol of formula units
formation energy from the elements = 971 meV per atom
calculated volume = 63 Å³/f.u.
final energy = -6.3595 eV per atom
total magnetic moment = 2.045 Bohr magnetons per cell

extended XYZ file:
```
3
Lattice="4.467 0.000 0.000 2.234 3.869 0.000 2.234 1.290 3.648" Properties=species:S:1:pos:R:3 pbc="T T T"
Tc 6.701 3.869 2.736
Ca 0.000 0.000 0.000
Cr 4.467 2.579 1.824
```

Entry 10:
The following is a DFT calculation (PBE) of a geometry-optimized YCu3P2 structure.

formation energy from the elements = -559 meV per atom
calculated volume = 91 Å³/f.u.
final energy = -5.4874 eV per atom
total magnetic moment = 0.000 Bohr magnetons per cell

extended XYZ file:
```
12
Lattice="-0.623 1.547 -3.499 7.251 -2.102 -0.073 -4.834 -5.177 -1.429" Properties=species:S:1:pos:R:3 pbc="T T T"
Cu -2.170 -2.964 -3.072
Y 0.035 -5.071 -4.396
P 2.442 -1.497 -3.244
Cu 2.952 -3.569 -4.251
Y 1.759 -0.659 -0.605
Cu 0.192 -1.949 -3.044
P -1.018 -0.211 -2.059
P 2.812 -5.520 -2.942
Cu 3.963 -2.767 -1.929
Cu -1.158 -2.162 -0.750
Cu 1.602 -3.781 -1.957
P -0.648 -4.234 -1.757
```

Entry 11:
The following is a DFT calculation (PBE) of a geometry-optimized DyErCu4 structure.

energy above the lowest structure with this stoichiometry = 55 kJ/mol of formula units
formation energy from the elements = -186 meV per atom
calculated volume = 102 Å³/f.u.
final energy = -4.4446 eV per atom
total magnetic moment = 0.000 Bohr magnetons per cell

extended XYZ file:
```
6
Lattice="5.242 0.000 0.000 2.621 4.540 0.000 2.621 1.513 4.280" Properties=species:S:1:pos:R:3 pbc="T T T"
Cu 5.242 3.027 0.537
Cu 5.242 1.516 2.674
Cu 3.934 3.782 2.674
Cu 6.551 3.782 2.674
Dy 0.000 0.000 0.000
Er 2.621 1.513 1.070
```

Entry 12:
The following is a DFT calculation (PBE) of a geometry-optimized AcAg2HgF8 structure.

formation energy from raw total energies = -209.6 kJ/mol of atoms
calculated volume = 198 Å³/f.u.
final energy = -4.2630 eV per atom
total magnetic moment = 1.027 Bohr magnetons per cell

extended XYZ file:
```
12
Lattice="4.200 0.122 0.002 0.188 5.684 0.211 0.012 0.317 8.319" Properties=species:S:1:pos:R:3 pbc="T T T"
F 3.928 1.804 6.112
F 2.382 4.535 4.616
Ac 0.006 0.159 4.159
F 0.473 4.319 2.420
F 2.018 1.588 3.916
F 2.601 4.390 0.321
F 3.969 1.514 1.956
Ag 2.194 3.172 6.521
Ag 2.207 2.951 2.010
F 1.799 1.733 8.210
Hg 0.000 0.000 0.000
F 0.431 4.609 6.576
```

Entry 13:
The following is a DFT calculation (PBE) of a geometry-optimized CaNiRu structure.

energy above the lowest structure with this stoichiometry = 85 kJ/mol of formula units
formation energy from the elements = 234 meV per atom
calculated volume = 58 Å³/f.u.
final energy = -5.4526 eV per atom
total magnetic moment = 0.000 Bohr magnetons per cell

extended XYZ file:
```
12
Lattice="5.854 0.000 0.002 0.000 4.303 0.000 -5.083 0.000 9.162" Properties=species:S:1:pos:R:3 pbc="T T T"
Ru -0.806 0.000 6.031
Ca -1.134 0.000 2.930
Ru 1.735 2.151 1.449
Ni 2.718 0.000 5.211
Ca 1.032 2.151 4.406
Ca -1.509 0.000 8.987
Ru 0.767 0.000 0.682
Ni -0.552 2.151 7.418
Ni 5.259 2.151 0.630
Ni 1.989 0.000 2.837
Ru -1.774 2.151 5.263
Ca -3.675 2.151 7.511
```

Entry 14:
The following is a DFT calculation (PBE) of a geometry-optimized FeMo2Br structure.

energy above the lowest structure with this stoichiometry = 228 kJ/mol of formula units
formation energy from raw total energies = 99.7 kJ/mol of atoms
calculated volume = 62 Å³/f.u.
final energy = -6.9166 eV per atom
total magnetic moment = 2.644 Bohr magnetons per cell

extended XYZ file:
```
4
Lattice="-0.830 4.840 -1.217 -1.336 0.836 -4.807 -1.518 -3.114 3.687" Properties=species:S:1:pos:R:3 pbc="T T T"
Br -1.083 2.838 -3.012
Mo -1.969 0.280 -2.066
Mo 0.000 0.000 0.000
Fe -1.715 2.282 -0.271
```

Entry 15:
The following is a DFT calculation (PBE) of a geometry-optimized YTiGa3 structure.

energy above the lowest structure with this stoichiometry = 640 kJ/mol of formula units
formation energy from the elements = 1029 meV per atom
calculated volume = 142 Å³/f.u.
final energy = -3.6592 eV per atom
total magnetic moment = 0.000 Bohr magnetons per cell

extended XYZ file:
```
5
Lattice="5.216 0.000 0.000 0.000 5.216 0.000 0.000 0.000 5.216" Properties=species:S:1:pos:R:3 pbc="T T T"
Y 0.000 0.000 0.000
Ga 0.000 2.608 0.000
Ti 2.608 2.608 2.608
Ga 0.000 0.000 2.608
Ga 2.608 0.000 0.000
```